# 1
Below is a relaxed structure of Ac2LaCu, with properties calculated at the PBE level.

Structure (POSCAR):
```
Ac2LaCu
1.0
-2.2689 3.2914 -0.3973
-3.4199 -0.1595 -2.1019
-7.0866 -1.4914 7.8041
Cu La Ac
1 1 2
direct
0.6670 0.6670 0.9991 Cu
0.4993 0.4993 0.5021 La
0.2673 0.2673 0.1982 Ac
0.0664 0.0664 0.8007 Ac
```

Calculated values
**E above lowest polymorph**: 109 meV per atom
**Crystal system**: trigonal
**ΔH_f (0 K)**: 0.3 eV per formula unit
**VASP energy**: -16.981 eV/cell

=====

# 2
Below is a relaxed structure of ZrCoRh, with properties calculated at the PBE level.

Structure (POSCAR):
```
ZrCoRh
1.0
-0.7476 1.0487 -4.5802
0.8019 -5.5252 -3.5055
-6.3783 -1.0353 -1.3054
Rh Zr Co
4 4 4
direct
0.3743 0.7039 0.9539 Rh
0.3729 0.2039 0.4539 Rh
0.6257 0.2961 0.0461 Rh
0.6271 0.7961 0.5461 Rh
0.9673 0.4971 0.2463 Zr
0.0318 0.0042 0.2534 Zr
0.9682 0.9958 0.7466 Zr
0.0327 0.5029 0.7537 Zr
0.3806 0.1031 0.8530 Co
0.6206 0.3965 0.6463 Co
0.6194 0.8969 0.1470 Co
0.3794 0.6035 0.3537 Co
```

Calculated values
**Crystal system**: triclinic
**ΔH_f (0 K)**: -1.0 eV per formula unit
**VASP energy**: -96.109 eV/cell

=====

# 3
Below is a relaxed structure of NaAlSN2, with properties calculated at the PBE level.

Structure (POSCAR):
```
NaAlSN2
1.0
3.8930 0.0000 0.0000
0.0000 3.8930 0.0000
0.0000 0.0000 4.9699
N Al Na S
2 1 1 1
direct
0.0000 0.5000 0.0000 N
0.5000 0.0000 0.0000 N
0.0000 0.0000 0.0000 Al
0.5000 0.5000 0.5000 Na
0.0000 0.0000 0.5000 S
```

Calculated values
**E above lowest polymorph**: 0 meV per atom
**Uncorrected formation energy**: 9.26 kcal/mol of atoms
**Crystal system**: tetragonal
**VASP energy**: -23.831 eV/cell

=====

# 4
Below is a relaxed structure of BeSb2Au, with properties calculated at the PBE level.

Structure (POSCAR):
```
BeSb2Au
1.0
-2.7696 -2.8168 1.6481
1.7625 -3.3758 -2.8079
3.5700 -2.2706 2.1185
Au Sb Be
1 2 1
direct
0.0000 0.5546 0.5548 Au
0.5000 0.3309 0.3310 Sb
0.0000 0.9092 0.9092 Sb
0.5000 0.7053 0.7050 Be
```

Calculated values
**Uncorrected formation energy**: 1.76 kcal/mol of atoms
**Crystal system**: orthorhombic
**VASP energy**: -14.943 eV/cell

=====

# 5
Below is a relaxed structure of La12Y6Mg, with properties calculated at the PBE level.

Structure (POSCAR):
```
La12Y6Mg
1.0
-5.2026 1.8784 6.8265
-5.2008 -6.8227 -1.8969
4.7235 -5.2447 5.2323
La Y Mg
12 6 1
direct
0.4639 0.5698 0.2143 La
0.2143 0.4639 0.5698 La
0.6353 0.9766 0.8168 La
0.1832 0.3647 0.0234 La
0.0234 0.1832 0.3647 La
0.3647 0.0234 0.1832 La
0.7857 0.5361 0.4302 La
0.4302 0.7857 0.5361 La
0.9766 0.8168 0.6353 La
0.8168 0.6353 0.9766 La
0.5698 0.2143 0.4639 La
0.5361 0.4302 0.7857 La
0.8981 0.2827 0.7401 Y
0.2599 0.1019 0.7173 Y
0.7173 0.2599 0.1019 Y
0.7401 0.8981 0.2827 Y
0.2827 0.7401 0.8981 Y
0.1019 0.7173 0.2599 Y
0.0000 0.0000 0.0000 Mg
```

Calculated values
**Crystal system**: trigonal
**ΔH_f (0 K)**: 2.1 eV per formula unit
**VASP energy**: -97.416 eV/cell

=====

# 6
Below is a relaxed structure of Ti5Tc4Pb, with properties calculated at the PBE level.

Structure (POSCAR):
```
Ti5Tc4Pb
1.0
3.1819 0.0000 0.0000
0.0000 3.1819 0.0000
0.0000 0.0000 15.9563
Ti Pb Tc
5 1 4
direct
0.5000 0.5000 0.6885 Ti
0.5000 0.5000 0.3115 Ti
0.5000 0.5000 0.1269 Ti
0.5000 0.5000 0.5000 Ti
0.5000 0.5000 0.8731 Ti
0.0000 0.0000 0.0000 Pb
0.0000 0.0000 0.4032 Tc
0.0000 0.0000 0.7906 Tc
0.0000 0.0000 0.5968 Tc
0.0000 0.0000 0.2094 Tc
```

Calculated values
**Crystal system**: tetragonal
**ΔH_f (0 K)**: -3.8 eV per formula unit
**VASP energy**: -88.493 eV/cell